Entry 1:
DFT (PBE) results for a relaxed structure of BeIn4Re2.

## Properties
Size of the total moment ... 0.67 μB/f.u.
Space group ... P-3m1 (164)
Uncorrected energy ... -33.38 eV for the cell shown

a = 3.0235 Å, b = 3.0235 Å, c = 16.4646 Å
α = 90.00°, β = 90.00°, γ = 120.00°
Closest atoms and distances in Å follow each position.
Atoms (fractional coordinates):
In1 0.3333 0.6667 0.9171  3 Re 2.86, 6 In 3.02
In2 0.6667 0.3333 0.6181  3 Be 2.61, 1 Re 2.66
In3 0.6667 0.3333 0.0829  3 Re 2.86, 6 In 3.02
In4 0.3333 0.6667 0.3819  3 Be 2.61, 1 Re 2.66
Be1 0.0000 0.0000 0.5000  6 In 2.61
Re1 0.6667 0.3333 0.7795  4 In 2.66-2.86
Re2 0.3333 0.6667 0.2205  4 In 2.66-2.86

---

Entry 2:
DFT (PBE) results for a relaxed structure of GdDyAu6.

## Properties
Size of the total moment ... 0.00 μB/f.u.
Energy of formation ... -0.72 eV per atom
Space group ... Pmm2 (25)

a = 5.0407 Å, b = 6.1857 Å, c = 5.1524 Å
α = 90.00°, β = 90.00°, γ = 90.00°
Closest atoms and distances in Å follow each position.
Atoms (fractional coordinates):
Gd1 0.5000 0.0000 0.1559  12 Au 3.01-3.09
Au1 0.0000 0.7552 0.3389  8 Au 2.96-3.16, 2 Dy 3.00-3.05, 2 Gd 3.09
Au2 0.0000 0.0000 0.8315  8 Au 2.96-3.11, 2 Gd 3.02, 2 Dy 3.09
Au3 0.5000 0.5000 0.1661  8 Au 2.96-3.10, 2 Dy 3.02, 2 Gd 3.09
Au4 0.0000 0.2448 0.3389  8 Au 2.96-3.16, 2 Dy 3.00-3.05, 2 Gd 3.09
Au5 0.5000 0.2588 0.6620  8 Au 2.96-3.20, 2 Gd 3.01-3.06, 2 Dy 3.08
Au6 0.5000 0.7412 0.6620  8 Au 2.96-3.20, 2 Gd 3.01-3.06, 2 Dy 3.08
Dy1 0.0000 0.5000 0.8448  12 Au 3.00-3.09

---

Entry 3:
DFT (PBE) results for a relaxed structure of Hg6Ge2O7.

## Properties
Space group ... C2/m (12)
Uncorrected energy ... -57.60 eV for the cell shown

a = 7.2098 Å, b = 7.2098 Å, c = 6.1262 Å
α = 107.65°, β = 107.65°, γ = 64.39°
Closest atoms and distances in Å follow each position.
Atoms (fractional coordinates):
O1 0.5068 0.8885 0.7696  1 Ge 1.76
O2 0.8885 0.5068 0.7696  1 Ge 1.76
O3 0.5000 0.5000 0.5000  2 Ge 1.73
O4 0.6973 0.6973 0.3558  1 Ge 1.78
O5 0.3027 0.3027 0.6442  1 Ge 1.78
O6 0.1115 0.4932 0.2304  1 Ge 1.76
O7 0.4932 0.1115 0.2304  1 Ge 1.76
Hg1 0.1281 0.6448 0.9220  1 O 2.19
Hg2 0.6448 0.1281 0.9220  1 O 2.19
Hg3 0.8719 0.3552 0.0780  1 O 2.19
Hg4 0.8869 0.8869 0.4440  1 O 2.18
Hg5 0.1131 0.1131 0.5560  1 O 2.18
Hg6 0.3552 0.8719 0.0780  1 O 2.19
Ge1 0.6521 0.6521 0.6014  4 O 1.73-1.78
Ge2 0.3479 0.3479 0.3986  4 O 1.73-1.78

---

Entry 4:
DFT (PBE) results for a relaxed structure of NbPAuO.

## Properties
Size of the total moment ... 0.90 μB/f.u.
Space group ... P4/nmm (129)
Uncorrected energy ... -52.59 eV for the cell shown

a = 3.6744 Å, b = 3.6744 Å, c = 8.7030 Å
α = 90.00°, β = 90.00°, γ = 90.00°
Closest atoms and distances in Å follow each position.
Atoms (fractional coordinates):
O1 0.7500 0.2500 0.0000  4 Nb 2.19
O2 0.2500 0.7500 0.0000  4 Nb 2.19
Au1 0.7500 0.2500 0.5000  4 Au 2.60, 4 P 2.74
Au2 0.2500 0.7500 0.5000  4 Au 2.60, 4 P 2.74
Nb1 0.2500 0.2500 0.1379  4 O 2.19
Nb2 0.7500 0.7500 0.8621  4 O 2.19
P1 0.7500 0.7500 0.2658  4 Au 2.74, 4 Nb 2.83, 4 O 2.95
P2 0.2500 0.2500 0.7342  4 Au 2.74, 4 Nb 2.83, 4 O 2.95

---

Entry 5:
DFT (PBE) results for a relaxed structure of NdGd2Cd3AgPt2.

## Properties
Size of the total moment ... 0.00 μB/f.u.
Energy of formation ... -0.73 eV per atom
Space group ... Amm2 (38)

a = 3.9109 Å, b = 7.7961 Å, c = 7.7961 Å
α = 120.24°, β = 90.00°, γ = 90.00°
Closest atoms and distances in Å follow each position.
Atoms (fractional coordinates):
Nd1 0.5000 0.5863 0.5863  4 Pt 3.08, 6 Cd 3.21-3.44, 1 Ag 3.23
Pt1 0.0000 0.3292 0.6673  3 Cd 2.89-2.95, 4 Gd 3.03-3.05, 2 Nd 3.08
Pt2 0.0000 0.6673 0.3292  3 Cd 2.89-2.95, 4 Gd 3.03-3.05, 2 Nd 3.08
Ag1 0.5000 0.0021 0.0021  6 Cd 2.79-2.82
Gd1 0.5000 0.0004 0.4141  4 Pt 3.03-3.05, 2 Cd 3.21, 1 Ag 3.22
Gd2 0.5000 0.4141 0.0004  4 Pt 3.03-3.05, 2 Cd 3.21, 1 Ag 3.22
Cd1 0.0000 0.7404 0.0012  2 Ag 2.82, 2 Pt 2.89-2.94
Cd2 0.0000 0.2588 0.2588  2 Ag 2.79, 2 Pt 2.95
Cd3 0.0000 0.0012 0.7404  2 Ag 2.82, 2 Pt 2.89-2.94

---

Entry 6:
DFT (PBE) results for a relaxed structure of TbCo.

## Properties
Size of the total moment ... 0.01 μB/f.u.
Energy of formation ... 0.90 eV per atom
Space group ... F-43m (216)

a = 4.1507 Å, b = 4.1507 Å, c = 4.1507 Å
α = 60.00°, β = 60.00°, γ = 60.00°
Closest atoms and distances in Å follow each position.
Atoms (fractional coordinates):
Co1 0.0000 0.0000 0.0000  4 Tb 2.54
Tb1 0.2500 0.2500 0.2500  4 Co 2.54

---

Entry 7:
DFT (PBE) results for a relaxed structure of TlPt2Pb3.

## Properties
Size of the total moment ... 0.00 μB/f.u.
Space group ... Fmm2 (42)
Uncorrected energy ... -26.31 eV for the cell shown

a = 6.9935 Å, b = 5.7061 Å, c = 5.7635 Å
α = 75.14°, β = 52.06°, γ = 52.80°
Closest atoms and distances in Å follow each position.
Atoms (fractional coordinates):
Pb1 0.8412 0.8412 0.1588  4 Pt 3.02, 1 Tl 3.15
Pb2 0.6591 0.3389 0.6611  4 Pt 2.99, 1 Pb 3.19
Pb3 0.3389 0.6591 0.3409  4 Pt 2.99, 1 Pb 3.19
Pt1 0.7495 0.7495 0.7505  2 Pt 2.90, 6 Pb 2.99-3.02, 2 Tl 3.01
Pt2 0.2495 0.2495 0.2505  2 Pt 2.90, 6 Pb 2.99-3.02, 2 Tl 3.01
Tl1 0.1618 0.1618 0.8382  4 Pt 3.01, 1 Pb 3.15

---

Entry 8:
DFT (PBE) results for a relaxed structure of KPAuN.

## Properties
Space group ... I2_12_12_1 (24)
Uncorrected energy ... -35.30 eV for the cell shown

a = 6.6275 Å, b = 6.6275 Å, c = 6.6275 Å
α = 139.17°, β = 122.10°, γ = 73.27°
Closest atoms and distances in Å follow each position.
Atoms (fractional coordinates):
P1 0.6566 0.4066 0.2500  2 N 1.67
P2 0.8434 0.0934 0.7500  2 N 1.67
Au1 0.2500 0.8165 0.5665  2 K 3.02, 2 P 3.06, 2 N 3.17, 2 Au 3.27
Au2 0.7500 0.6835 0.9335  2 K 3.02, 2 P 3.06, 2 N 3.17, 2 Au 3.27
N1 0.8559 0.2500 0.1059  2 P 1.67
N2 0.6441 0.7500 0.3941  2 P 1.67
K1 0.1500 0.4000 0.7500  2 N 2.98, 2 Au 3.02, 2 K 3.14, 3 P 3.21-3.26
K2 0.3500 0.1000 0.2500  2 N 2.98, 2 Au 3.02, 2 K 3.14, 3 P 3.21-3.26

---

Entry 9:
DFT (PBE) results for a relaxed structure of MgOs.

## Properties
Size of the total moment ... 0.00 μB/f.u.
Space group ... Pmmn (59)
Uncorrected energy ... -49.76 eV for the cell shown

a = 10.3197 Å, b = 2.8223 Å, c = 4.5233 Å
α = 90.00°, β = 90.00°, γ = 90.00°
Closest atoms and distances in Å follow each position.
Atoms (fractional coordinates):
Mg1 0.1958 0.0000 0.5000  6 Os 2.78-2.79, 4 Mg 2.82
Mg2 0.0332 0.0000 0.0000  8 Mg 2.82-3.08, 2 Os 2.85
Mg3 0.7208 0.5000 0.0000  6 Os 2.78-2.79, 4 Mg 2.82
Mg4 0.8833 0.5000 0.5000  8 Mg 2.82-3.08, 2 Os 2.85
Os1 0.4292 0.5000 0.5000  10 Os 2.62-2.82, 2 Mg 2.79
Os2 0.4876 0.0000 0.0000  10 Os 2.62-2.82, 2 Mg 2.79
Os3 0.6436 0.0000 0.5000  6 Os 2.62-2.82, 6 Mg 2.78-2.85
Os4 0.2732 0.5000 0.0000  6 Os 2.62-2.82, 6 Mg 2.78-2.85

---

Entry 10:
DFT (PBE) results for a relaxed structure of KAgTe2PbS.

## Properties
Space group ... Cmcm (63)
Uncorrected energy ... -40.84 eV for the cell shown

a = 7.1532 Å, b = 7.1532 Å, c = 11.8731 Å
α = 90.00°, β = 90.00°, γ = 144.16°
Closest atoms and distances in Å follow each position.
Atoms (fractional coordinates):
K1 0.7920 0.2080 0.7500  2 S 3.29, 2 Te 3.44
K2 0.2080 0.7920 0.2500  2 S 3.29, 2 Te 3.44
Ag1 0.9365 0.0635 0.2500  2 S 2.53
Ag2 0.0635 0.9365 0.7500  2 S 2.53
Te1 0.8341 0.1659 0.4640  1 Ag 2.90, 2 Pb 3.18
Te2 0.8341 0.1659 0.0360  1 Ag 2.90, 2 Pb 3.18
Te3 0.1659 0.8341 0.9640  1 Ag 2.90, 2 Pb 3.18
Te4 0.1659 0.8341 0.5360  1 Ag 2.90, 2 Pb 3.18
S1 0.4721 0.5279 0.7500  2 Ag 2.53
S2 0.5279 0.4721 0.2500  2 Ag 2.53
Pb1 0.5000 0.5000 0.0000  2 S 2.99, 4 Te 3.18
Pb2 0.5000 0.5000 0.5000  2 S 2.99, 4 Te 3.18

---

Entry 11:
DFT (PBE) results for a relaxed structure of RbSmSnS3.

## Properties
Size of the total moment ... 0.01 μB/f.u.
Space group ... Cmcm (63)
Uncorrected energy ... -59.14 eV for the cell shown

a = 8.6346 Å, b = 8.6346 Å, c = 11.5217 Å
α = 90.00°, β = 90.00°, γ = 152.77°
Closest atoms and distances in Å follow each position.
Atoms (fractional coordinates):
S1 0.1122 0.8878 0.9910  2 Sm 2.77, 1 Sn 2.78
S2 0.4903 0.5097 0.2500  2 Sn 2.69, 2 Sm 2.89
S3 0.5097 0.4903 0.7500  2 Sn 2.69, 2 Sm 2.89
S4 0.8878 0.1122 0.0090  2 Sm 2.77, 1 Sn 2.78
S5 0.8878 0.1122 0.4910  2 Sm 2.77, 1 Sn 2.78
S6 0.1122 0.8878 0.5090  2 Sm 2.77, 1 Sn 2.78
Sm1 0.5000 0.5000 0.5000  6 S 2.77-2.89
Sm2 0.5000 0.5000 0.0000  6 S 2.77-2.89
Sn1 0.8855 0.1145 0.2500  4 S 2.69-2.78
Sn2 0.1145 0.8855 0.7500  4 S 2.69-2.78
Rb1 0.8187 0.1813 0.7500  2 S 3.20
Rb2 0.1813 0.8187 0.2500  2 S 3.20

---

Entry 12:
DFT (PBE) results for a relaxed structure of NaLiZrTe3.

## Properties
Size of the total moment ... 0.01 μB/f.u.
Space group ... Pnma (62)
Uncorrected energy ... -106.69 eV for the cell shown

a = 14.4352 Å, b = 4.1703 Å, c = 11.3609 Å
α = 90.00°, β = 90.00°, γ = 90.00°
Closest atoms and distances in Å follow each position.
Atoms (fractional coordinates):
Zr1 0.0083 0.7500 0.3265  6 Te 2.84-3.03
Zr2 0.9917 0.2500 0.6735  6 Te 2.84-3.03
Zr3 0.5083 0.7500 0.1735  6 Te 2.84-3.03
Zr4 0.4917 0.2500 0.8265  6 Te 2.84-3.03
Te1 0.8588 0.7500 0.7372  1 Li 2.71, 2 Zr 2.92
Te2 0.1412 0.2500 0.2628  1 Li 2.71, 2 Zr 2.92
Te3 0.6412 0.2500 0.2372  1 Li 2.71, 2 Zr 2.92
Te4 0.3937 0.7500 0.3762  3 Li 2.72-2.80, 1 Zr 2.84
Te5 0.8937 0.7500 0.1238  3 Li 2.72-2.80, 1 Zr 2.84
Te6 0.6070 0.7500 0.9379  3 Zr 2.95-3.03, 2 Na 3.25
Te7 0.3588 0.7500 0.7628  1 Li 2.71, 2 Zr 2.92
Te8 0.3930 0.2500 0.0621  3 Zr 2.95-3.03, 2 Na 3.25
Te9 0.1063 0.2500 0.8762  3 Li 2.72-2.80, 1 Zr 2.84
Te10 0.8930 0.2500 0.4379  3 Zr 2.95-3.03, 2 Na 3.25
Te11 0.6063 0.2500 0.6238  3 Li 2.72-2.80, 1 Zr 2.84
Te12 0.1070 0.7500 0.5621  3 Zr 2.95-3.03, 2 Na 3.25
Na1 0.2204 0.7500 0.0470  6 Te 3.25-3.42
Na2 0.7204 0.7500 0.4530  6 Te 3.25-3.42
Na3 0.2796 0.2500 0.5470  6 Te 3.25-3.42
Na4 0.7796 0.2500 0.9530  6 Te 3.25-3.42
Li1 0.4884 0.7500 0.5908  4 Te 2.71-2.80, 2 Li 2.95
Li2 0.5116 0.2500 0.4092  4 Te 2.71-2.80, 2 Li 2.95
Li3 0.0116 0.2500 0.0908  4 Te 2.71-2.80, 2 Li 2.95
Li4 0.9884 0.7500 0.9092  4 Te 2.71-2.80, 2 Li 2.95

---

Entry 13:
DFT (PBE) results for a relaxed structure of Zr4TlHgC2.

## Properties
Size of the total moment ... 0.04 μB/f.u.
Space group ... P-6m2 (187)
Uncorrected energy ... -60.12 eV for the cell shown

a = 3.3741 Å, b = 3.3741 Å, c = 15.0490 Å
α = 90.00°, β = 90.00°, γ = 120.00°
Closest atoms and distances in Å follow each position.
Atoms (fractional coordinates):
Hg1 0.6667 0.3333 0.5000  6 Zr 3.17, 6 Hg 3.37
Tl1 0.3333 0.6667 0.0000  6 Zr 3.19, 6 Tl 3.37
Zr1 0.3333 0.6667 0.6665  3 C 2.32
Zr2 0.6667 0.3333 0.1683  3 C 2.30
Zr3 0.6667 0.3333 0.8317  3 C 2.30
Zr4 0.3333 0.6667 0.3335  3 C 2.32
C1 0.0000 0.0000 0.2497  6 Zr 2.30-2.32
C2 0.0000 0.0000 0.7503  6 Zr 2.30-2.32

---

Entry 14:
DFT (PBE) results for a relaxed structure of AlFeReAu.

## Properties
Size of the total moment ... 2.34 μB/f.u.
Space group ... F-43m (216)
Uncorrected energy ... -26.51 eV for the cell shown

a = 4.3730 Å, b = 4.3730 Å, c = 4.3730 Å
α = 60.00°, β = 60.00°, γ = 60.00°
Closest atoms and distances in Å follow each position.
Atoms (fractional coordinates):
Al1 0.0000 0.0000 0.0000  4 Au 2.68, 4 Fe 2.68
Fe1 0.7500 0.7500 0.7500  4 Re 2.68, 4 Al 2.68
Re1 0.5000 0.5000 0.5000  4 Au 2.68, 4 Fe 2.68
Au1 0.2500 0.2500 0.2500  4 Re 2.68, 4 Al 2.68

---

Entry 15:
DFT (PBE) results for a relaxed structure of HfPb2N.

## Properties
Size of the total moment ... 0.00 μB/f.u.
Space group ... P6_3/mmc (194)
Uncorrected energy ... -46.41 eV for the cell shown

a = 3.3741 Å, b = 3.3741 Å, c = 16.3114 Å
α = 90.00°, β = 90.00°, γ = 120.00°
Closest atoms and distances in Å follow each position.
Atoms (fractional coordinates):
N1 0.0000 0.0000 0.5000  6 Pb 2.50
N2 0.0000 0.0000 0.0000  6 Pb 2.50
Hf1 0.6667 0.3333 0.2500  6 Pb 3.18, 6 Hf 3.37
Hf2 0.3333 0.6667 0.7500  6 Pb 3.18, 6 Hf 3.37
Pb1 0.6667 0.3333 0.5960  3 N 2.50
Pb2 0.3333 0.6667 0.4040  3 N 2.50
Pb3 0.3333 0.6667 0.0960  3 N 2.50
Pb4 0.6667 0.3333 0.9040  3 N 2.50

---

Entry 16:
DFT (PBE) results for a relaxed structure of Sr2CoHgH6.

## Properties
Size of the total moment ... 0.01 μB/f.u.
Space group ... Fm-3m (225)
Uncorrected energy ... -34.23 eV for the cell shown

a = 5.5268 Å, b = 5.5268 Å, c = 5.5268 Å
α = 60.00°, β = 60.00°, γ = 60.00°
Closest atoms and distances in Å follow each position.
Atoms (fractional coordinates):
Hg1 0.5000 0.5000 0.5000  6 H 2.31
H1 0.2039 0.7961 0.2039  1 Co 1.59
H2 0.7961 0.7961 0.2039  1 Co 1.59
H3 0.2039 0.2039 0.7961  1 Co 1.59
H4 0.7961 0.2039 0.7961  1 Co 1.59
H5 0.7961 0.2039 0.2039  1 Co 1.59
H6 0.2039 0.7961 0.7961  1 Co 1.59
Co1 0.0000 0.0000 0.0000  6 H 1.59
Sr1 0.2500 0.2500 0.2500  12 H 2.79
Sr2 0.7500 0.7500 0.7500  12 H 2.79

---

Entry 17:
DFT (PBE) results for a relaxed structure of GdSc2In3Pt2Au.

## Properties
Size of the total moment ... 0.02 μB/f.u.
Space group ... Amm2 (38)
Uncorrected energy ... -48.42 eV for the cell shown

a = 3.6589 Å, b = 7.7170 Å, c = 7.7170 Å
α = 120.23°, β = 90.00°, γ = 90.00°
Closest atoms and distances in Å follow each position.
Atoms (fractional coordinates):
Sc1 0.0000 0.4048 0.9996  4 Pt 2.95, 4 In 3.06-3.28, 1 Au 3.12
Sc2 0.0000 0.9996 0.4048  4 Pt 2.95, 4 In 3.06-3.28, 1 Au 3.12
Au1 0.0000 0.0017 0.0017  6 In 2.76-2.81
Pt1 0.5000 0.6687 0.3285  3 In 2.75-2.88, 4 Sc 2.95, 2 Gd 3.02
Pt2 0.5000 0.3285 0.6687  3 In 2.75-2.88, 4 Sc 2.95, 2 Gd 3.02
Gd1 0.0000 0.5963 0.5963  4 Pt 3.02, 6 In 3.10-3.33, 1 Au 3.12
In1 0.5000 0.2701 0.2701  2 Au 2.76, 2 Pt 2.88
In2 0.5000 0.0045 0.7259  2 Pt 2.75-2.85, 2 Au 2.81, 2 Sc 3.06
In3 0.5000 0.7259 0.0045  2 Pt 2.75-2.85, 2 Au 2.81, 2 Sc 3.06

---

Entry 18:
DFT (PBE) results for a relaxed structure of PmSiIr.

## Properties
Size of the total moment ... 0.01 μB/f.u.
Space group ... F-43m (216)
Uncorrected energy ... -19.73 eV for the cell shown

a = 4.4809 Å, b = 4.4809 Å, c = 4.4809 Å
α = 60.00°, β = 60.00°, γ = 60.00°
Closest atoms and distances in Å follow each position.
Atoms (fractional coordinates):
Pm1 0.7500 0.7500 0.7500  4 Si 2.74
Ir1 0.2500 0.2500 0.2500  4 Si 2.74
Si1 0.0000 0.0000 0.0000  4 Ir 2.74, 4 Pm 2.74

---

Entry 19:
DFT (PBE) results for a relaxed structure of NaCu3MoS4.

## Properties
Size of the total moment ... 2.00 μB/f.u.
Space group ... P-43m (215)
Uncorrected energy ... -43.22 eV for the cell shown

a = 5.6763 Å, b = 5.6763 Å, c = 5.6763 Å
α = 90.00°, β = 90.00°, γ = 90.00°
Closest atoms and distances in Å follow each position.
Atoms (fractional coordinates):
Mo1 0.0000 0.0000 0.0000  4 S 2.30
Cu1 0.5000 0.0000 0.0000  4 S 2.41
Cu2 0.0000 0.0000 0.5000  4 S 2.41
Cu3 0.0000 0.5000 0.0000  4 S 2.41
Na1 0.5000 0.5000 0.5000  4 S 2.62
S1 0.2337 0.2337 0.7663  1 Mo 2.30, 3 Cu 2.41
S2 0.2337 0.7663 0.2337  1 Mo 2.30, 3 Cu 2.41
S3 0.7663 0.7663 0.7663  1 Mo 2.30, 3 Cu 2.41
S4 0.7663 0.2337 0.2337  1 Mo 2.30, 3 Cu 2.41

---

Entry 20:
DFT (PBE) results for a relaxed structure of KLuBeSe3.

## Properties
Size of the total moment ... 0.01 μB/f.u.
Space group ... Cmcm (63)
Uncorrected energy ... -56.48 eV for the cell shown

a = 7.7058 Å, b = 7.7058 Å, c = 10.6856 Å
α = 90.00°, β = 90.00°, γ = 150.31°
Closest atoms and distances in Å follow each position.
Atoms (fractional coordinates):
K1 0.2553 0.7447 0.7500  6 Se 3.38-3.41
K2 0.7447 0.2553 0.2500  6 Se 3.38-3.41
Lu1 0.0000 0.0000 0.5000  6 Se 2.79-2.81
Lu2 0.0000 0.0000 0.0000  6 Se 2.79-2.81
Se1 0.9420 0.0580 0.7500  2 Be 2.42
Se2 0.0580 0.9420 0.2500  2 Be 2.42
Se3 0.3798 0.6202 0.0760  1 Be 2.24
Se4 0.6202 0.3798 0.5760  1 Be 2.24
Se5 0.3798 0.6202 0.4240  1 Be 2.24
Se6 0.6202 0.3798 0.9240  1 Be 2.24
Be1 0.4638 0.5362 0.2500  4 Se 2.24-2.42
Be2 0.5362 0.4638 0.7500  4 Se 2.24-2.42